one.
Density functional theory data (PBE) for a relaxed PrPaP crystal.

## Properties
Spin magnetization in μB/atom: 0.00

```
data_PrPaP
_chemical_formula_sum 'Pr2 Pa2 P2'
_symmetry_space_group_name_H-M 'I 4 m m'
_symmetry_Int_Tables_number 107
_symmetry_space_group_name_Hall 'I 4 -2'
_cell_length_a 3.530
_cell_length_b 3.530
_cell_length_c 12.285
_cell_angle_alpha 90.00
_cell_angle_beta 90.00
_cell_angle_gamma 90.00
loop_
_atom_site_label
_atom_site_type_symbol
_atom_site_fract_x
_atom_site_fract_y
_atom_site_fract_z
Pr1 Pr 0.000 0.000 0.000
Pa1 Pa 0.000 0.000 0.733
P1 P 0.000 0.000 0.346
```

two.
Density functional theory data (PBE) for a relaxed PrPaP crystal.

## Properties
Spin magnetization in μB/atom: 0.00

```
data_PrPaP
_chemical_formula_sum 'Pr1 Pa1 P1'
_symmetry_space_group_name_H-M 'P 4/m m m'
_symmetry_Int_Tables_number 123
_symmetry_space_group_name_Hall '-P 4 2'
_cell_length_a 3.884
_cell_length_b 3.884
_cell_length_c 5.701
_cell_angle_alpha 90.00
_cell_angle_beta 90.00
_cell_angle_gamma 90.00
loop_
_atom_site_label
_atom_site_type_symbol
_atom_site_fract_x
_atom_site_fract_y
_atom_site_fract_z
Pr1 Pr 0.000 0.000 0.000
Pa1 Pa 0.500 0.500 0.500
P1 P 0.000 0.000 0.500
```

The winner here is two, beating the second structure by 154 meV per atom.

one.
Density functional theory data (PBE) for a relaxed Pa2PPt crystal.

## Properties
Spin magnetization in μB/atom: 0.00

```
data_Pa2PPt
_chemical_formula_sum 'Pa2 P1 Pt1'
_symmetry_space_group_name_H-M 'P 4/m m m'
_symmetry_Int_Tables_number 123
_symmetry_space_group_name_Hall '-P 4 2'
_cell_length_a 3.286
_cell_length_b 3.286
_cell_length_c 7.505
_cell_angle_alpha 90.00
_cell_angle_beta 90.00
_cell_angle_gamma 90.00
loop_
_atom_site_label
_atom_site_type_symbol
_atom_site_fract_x
_atom_site_fract_y
_atom_site_fract_z
Pa1 Pa 0.000 0.000 0.234
P1 P 0.500 0.500 0.000
Pt1 Pt 0.500 0.500 0.500
```

two.
Density functional theory data (PBE) for a relaxed Pa2PPt crystal.

## Properties
Spin magnetization in μB/atom: 0.00

```
data_Pa2PPt
_chemical_formula_sum 'Pa6 P3 Pt3'
_symmetry_space_group_name_H-M 'R -3 m'
_symmetry_Int_Tables_number 166
_symmetry_space_group_name_Hall '-R 3 2"'
_cell_length_a 3.3549
_cell_length_b 3.3549
_cell_length_c 27.6654
_cell_angle_alpha 90.00
_cell_angle_beta 90.00
_cell_angle_gamma 120.00
loop_
_atom_site_label
_atom_site_type_symbol
_atom_site_fract_x
_atom_site_fract_y
_atom_site_fract_z
Pa1 Pa 0.0000 0.0000 0.0971
P1 P 0.0000 0.0000 0.5000
Pt1 Pt 0.0000 0.0000 0.0000
```

The winner here is one, beating the second structure by 564 meV per atom.